The following is a PBE calculation of a geometry-optimized SrNO2F structure, from Alexandria.

## Properties
Formation energy (no corrections) (eV per formula unit): 2.58
Final energy (eV/atom): -3.844
Crystal system: tetragonal
Spin magnetization (Bohr magnetons per cell): 0.99
DOS at the Fermi energy (states/eV per cell): 7.72
Theoretical density (g/cm3): 2.1

```
SrNO2F
1.0
-3.190 3.911 0.551
-1.640 -0.667 -4.758
-3.301 -2.911 1.546
Sr N F O
1 1 1 2
direct
0.000 0.000 0.000
0.500 0.500 0.500
0.000 0.000 0.500
0.000 0.500 0.000
0.500 0.000 0.000
```

---

The following is a PBE calculation of a geometry-optimized SrN2OF structure, from Alexandria.

## Properties
Formation energy (no corrections) (eV per formula unit): 1.60
Final energy (eV/atom): -4.713
Crystal system: tetragonal
Spin magnetization (Bohr magnetons per cell): 0.06
DOS at the Fermi energy (states/eV per cell): 1.75
Theoretical density (g/cm3): 4.0

```
SrN2OF
1.0
-3.243 -0.674 1.201
-0.188 -2.828 -2.094
1.954 -2.851 3.676
Sr N F O
1 2 1 1
direct
0.500 0.500 0.500
0.500 0.000 0.000
0.000 0.500 0.000
0.000 0.000 0.500
0.000 0.000 0.000
```

---

The following is a PBE calculation of a geometry-optimized SrNO2F structure, from Alexandria.

## Properties
Formation energy (no corrections) (eV per formula unit): -3.04
Final energy (eV/atom): -4.967
Crystal system: tetragonal
Spin magnetization (Bohr magnetons per cell): 0.54
DOS at the Fermi energy (states/eV per cell): 1.79
Theoretical density (g/cm3): 4.5

```
SrNO2F
1.0
-3.469 -1.039 0.283
-0.275 -0.068 -3.622
1.217 -4.067 -0.016
N Sr O F
1 1 2 1
direct
0.000 0.000 0.000
0.500 0.500 0.500
0.500 0.000 0.000
0.000 0.500 0.000
0.000 0.000 0.500
```

---

The following is a PBE calculation of a geometry-optimized SrN2OF structure, from Alexandria.

## Properties
Formation energy (no corrections) (eV per formula unit): 4.85
Final energy (eV/atom): -4.063
Crystal system: tetragonal
Spin magnetization (Bohr magnetons per cell): 3.62
DOS at the Fermi energy (states/eV per cell): 3.56
Theoretical density (g/cm3): 3.5

```
SrN2OF
1.0
3.747 0.000 0.000
0.000 3.747 0.000
0.000 0.000 5.037
N O Sr F
2 1 1 1
direct
0.000 0.500 0.000
0.500 0.000 0.000
0.000 0.000 0.500
0.500 0.500 0.500
0.000 0.000 0.000
```

---

The following is a PBE calculation of a geometry-optimized SrN2OF structure, from Alexandria.

## Properties
Formation energy (no corrections) (eV per formula unit): 5.01
Final energy (eV/atom): -4.030
Crystal system: tetragonal
Spin magnetization (Bohr magnetons per cell): 7.00
DOS at the Fermi energy (states/eV per cell): 4.00
Theoretical density (g/cm3): 1.9

```
SrN2OF
1.0
-3.599 3.717 -1.419
0.534 -1.445 -5.139
-3.396 -3.091 0.517
Sr N F O
1 2 1 1
direct
0.000 0.000 0.000
0.000 0.500 0.000
0.500 0.000 0.000
0.000 0.000 0.500
0.500 0.500 0.500
```

---

The following is a PBE calculation of a geometry-optimized TiNO2F structure, from Alexandria.

## Properties
Formation energy (no corrections) (eV per formula unit): -4.40
Final energy (eV/atom): -6.481
Crystal system: tetragonal
Spin magnetization (Bohr magnetons per cell): 2.00
DOS at the Fermi energy (states/eV per cell): 1.63
Theoretical density (g/cm3): 3.2

```
TiNO2F
1.0
3.854 0.000 0.000
0.000 3.854 0.000
0.000 0.000 3.983
Ti F N O
1 1 1 2
direct
0.000 0.000 0.000
0.000 0.000 0.500
0.500 0.500 0.500
0.000 0.500 0.000
0.500 0.000 0.000
```

---

The following is a PBE calculation of a geometry-optimized TiNO2F structure, from Alexandria.

## Properties
Formation energy (no corrections) (eV per formula unit): 3.42
Final energy (eV/atom): -4.917
Crystal system: tetragonal
Spin magnetization (Bohr magnetons per cell): 0.03
DOS at the Fermi energy (states/eV per cell): 1.24
Theoretical density (g/cm3): 4.0

```
TiNO2F
1.0
-2.218 -0.981 2.739
2.506 -2.395 1.171
1.413 2.469 2.028
Ti F O N
1 1 2 1
direct
0.500 0.500 0.500
0.000 0.000 0.000
0.000 0.500 0.000
0.500 0.000 0.000
0.000 0.000 0.500
```

---

The following is a PBE calculation of a geometry-optimized TiNO2F structure, from Alexandria.

## Properties
Formation energy (no corrections) (eV per formula unit): 0.53
Final energy (eV/atom): -5.495
Crystal system: tetragonal
Spin magnetization (Bohr magnetons per cell): 1.14
DOS at the Fermi energy (states/eV per cell): 4.60
Theoretical density (g/cm3): 4.0

```
TiNO2F
1.0
3.691 0.000 0.000
0.000 3.691 0.000
0.000 0.000 3.436
O Ti F N
2 1 1 1
direct
0.000 0.500 0.000
0.500 0.000 0.000
0.500 0.500 0.500
0.000 0.000 0.500
0.000 0.000 0.000
```

---

The following is a PBE calculation of a geometry-optimized TlN2OF structure, from Alexandria.

## Properties
Formation energy (no corrections) (eV per formula unit): 8.61
Final energy (eV/atom): -3.447
Crystal system: tetragonal
Spin magnetization (Bohr magnetons per cell): 5.96
DOS at the Fermi energy (states/eV per cell): 1.79
Theoretical density (g/cm3): 4.7

```
TlN2OF
1.0
4.549 0.000 0.000
0.000 4.549 0.000
0.000 0.000 4.568
O N F Tl
1 2 1 1
direct
0.500 0.500 0.500
0.000 0.500 0.000
0.500 0.000 0.000
0.000 0.000 0.500
0.000 0.000 0.000
```

---

The following is a PBE calculation of a geometry-optimized TlN2OF structure, from Alexandria.

## Properties
Formation energy (no corrections) (eV per formula unit): 9.44
Final energy (eV/atom): -3.282
Crystal system: tetragonal
Spin magnetization (Bohr magnetons per cell): 3.87
DOS at the Fermi energy (states/eV per cell): 1.75
Theoretical density (g/cm3): 5.6

```
TlN2OF
1.0
-0.039 0.799 -3.576
-3.441 -1.237 -0.238
-2.019 5.382 1.224
F Tl N O
1 1 2 1
direct
0.000 0.000 0.000
0.500 0.500 0.500
0.500 0.000 0.000
0.000 0.500 0.000
0.000 0.000 0.500
```